[1]
RbNa3Sb: optimized geometry, PBE-GGA.

Calculated values
DOS(E_F): 4.00 states/eV/cell
excess energy over the best structure of this formula in the dataset: 0 meV/atom
energy relative to the elements, uncorrected: -0.274 eV/atom
total energy: -2.083 eV/atom
magnetic moment: 0.0 μB per cell

a b c (Å): 8.9355 9.5194 10.8780
angles (deg): 100.42 90.00 90.00
Fractional coordinates of all 20 atoms:
Na 0.5643 0.1172 0.6298
Sb 0.7448 0.0575 0.3730
Rb 0.5761 0.7122 0.7137
Na 0.6371 0.3629 0.9538
Rb 0.4239 0.2878 0.2863
Na 0.8629 0.3629 0.4538
Na 0.3962 0.0464 0.8950
Sb 0.2448 0.9425 0.1270
Na 0.8962 0.9536 0.6050
Na 0.6038 0.9536 0.1050
Na 0.3629 0.6371 0.0462
Sb 0.7552 0.0575 0.8730
Na 0.4357 0.8828 0.3702
Na 0.9357 0.1172 0.1298
Na 0.0643 0.8828 0.8702
Rb 0.0761 0.2878 0.7863
Na 0.1038 0.0464 0.3950
Na 0.1371 0.6371 0.5462
Rb 0.9239 0.7122 0.2137
Sb 0.2552 0.9425 0.6270

***

[2]
Rb2Tl3Cd4Hg: optimized geometry, PBE-GGA.

Calculated values
DOS(E_F): 4.90 states/eV/cell
formation energy: -1.31 kcal/mol of atoms
total energy: -1.356 eV/atom
magnetic moment: 0.0 μB per cell

a b c (Å): 5.2984 5.2984 12.0514
angles (deg): 90.00 90.00 90.00
Fractional coordinates of all 10 atoms:
Tl 0.5000 0.0000 0.8744
Cd 0.0000 0.0000 0.0000
Hg 0.5000 0.5000 0.5000
Rb 0.5000 0.0000 0.2525
Rb 0.0000 0.5000 0.7475
Cd 0.5000 0.0000 0.6232
Cd 0.0000 0.5000 0.3768
Tl 0.0000 0.0000 0.5000
Cd 0.5000 0.5000 0.0000
Tl 0.0000 0.5000 0.1256

***

[3]
Cu2SnMo: optimized geometry, PBE-GGA.

Calculated values
DOS(E_F): 0.15 states/eV/cell
formation energy: 13.66 kcal/mol of atoms
total energy: -5.164 eV/atom
magnetic moment: 0.0 μB per cell

a b c (Å): 3.8119 3.8119 9.8642
angles (deg): 78.86 78.86 90.00
Fractional coordinates of all 8 atoms:
Cu 0.1472 0.6250 0.2500
Cu 0.8750 0.8528 0.7500
Cu 0.3750 0.3972 0.7500
Mo 0.5000 0.5000 0.0000
Sn 0.7500 0.2500 0.5000
Mo 0.2500 0.7500 0.5000
Sn 0.0000 0.0000 0.0000
Cu 0.6028 0.1250 0.2500

***

[4]
CaZr2Tl: optimized geometry, PBE-GGA.

Calculated values
DOS(E_F): 4.66 states/eV/cell
excess energy over the best structure of this formula in the dataset: 214 meV/atom
formation energy: 4.10 kcal/mol of atoms
total energy: -5.188 eV/atom
magnetic moment: 0.4 μB per cell

a b c (Å): 6.3487 6.3487 6.3487
angles (deg): 149.00 127.61 62.13
Last column: magnetic moment on the atom in μB.
Fractional coordinates of all 4 atoms:
Zr 0.7690 0.2690 0.5000  0.00
Tl 0.2395 0.7395 0.5000  0.00
Ca 0.4903 0.4903 0.0000  0.03
Zr 0.0012 0.0012 0.0000  0.24